Computed, not measured: a relaxed structure of SrFeI2N at the PBE-GGA level of DFT.

It has space group P4/mmm (No. 123), with a = 6.450 Å, b = 6.450 Å, c = 5.012 Å, α = 90.00°, β = 90.00° and γ = 90.00°. The asymmetric unit holds Sr at (0.000, 0.000, 0.000), Fe at (0.500, 0.500, 0.500), I at (0.000, 0.500, 0.000) and N at (0.000, 0.000, 0.500).

The calculation puts the energy above the lowest structure with this stoichiometry at 1008 meV per atom. The calculation puts the density of states at the Fermi level at 10.34 states/eV/cell. The value obtained for the uncorrected formation energy is 753 meV per atom. As for the density: 3.27 g/cm3.

Computed, not measured: a relaxed structure of Tl2ReAg at the PBE-GGA level of DFT.

It has space group I4/mmm (No. 139), with a = 4.354 Å, b = 4.354 Å, c = 8.508 Å, α = 90.00°, β = 90.00° and γ = 90.00°. The asymmetric unit holds Tl at (0.000, 0.500, 0.250), Re at (0.000, 0.000, 0.000) and Ag at (0.000, 0.000, 0.500).

The calculation puts the energy above the lowest structure with this stoichiometry at 251 meV per atom. The calculation puts the density of states at the Fermi level at 7.02 states/eV/cell. As for the density: 14.47 g/cm3.

Computed, not measured: a relaxed structure of Rb5Pr2Br12 at the PBE-GGA level of DFT.

It has space group C2/m (No. 12), with a = 17.124 Å, b = 10.579 Å, c = 8.745 Å, α = 90.00°, β = 102.44° and γ = 90.00°. The asymmetric unit holds Rb at (0.000, 0.000, 0.000), Rb at (0.135, 0.500, 0.022), Rb at (0.248, 0.000, 0.483), Pr at (0.000, 0.248, 0.500), Br at (0.043, 0.500, 0.335), Br at (0.084, 0.000, 0.661), Br at (0.104, 0.198, 0.271) and Br at (0.152, 0.307, 0.727).

The calculation puts the density of states at the Fermi level at 28.14 states/eV/cell. The value obtained for the uncorrected formation energy is -1663 meV per atom. As for the density: 3.58 g/cm3.

Computed, not measured: a relaxed structure of SrUPaO6 at the PBE-GGA level of DFT.

It has space group P-31c (No. 163), with a = 5.8883 Å, b = 5.8883 Å, c = 9.5079 Å, α = 90.00°, β = 90.00° and γ = 120.00°. The asymmetric unit holds Sr at (0.3333, 0.6667, 0.2500), U at (0.3333, 0.6667, 0.7500), Pa at (0.0000, 0.0000, 0.0000) and O at (0.0479, 0.3396, 0.6245).

The value obtained for the uncorrected formation energy is -3274 meV per atom. As for the density: 7.59 g/cm3.

Computed, not measured: a relaxed structure of Dy8In2Pt at the PBE-GGA level of DFT.

It has space group C2/m (No. 12), with a = 19.013 Å, b = 5.073 Å, c = 6.688 Å, α = 90.00°, β = 103.91° and γ = 90.00°. The asymmetric unit holds Dy at (0.019, 0.000, 0.278), Dy at (0.090, 0.500, 0.954), Dy at (0.147, 0.500, 0.485), Dy at (0.212, 0.000, 0.813), In at (0.184, 0.000, 0.254) and Pt at (0.000, 0.500, 0.500).

As for the total energy: -105.32 eV per cell. The calculation puts the density of states at the Fermi level at 20.97 states/eV/cell. As for the density: 9.15 g/cm3.

Computed, not measured: a relaxed structure of CsAsOF4 at the PBE-GGA level of DFT.

It has space group P2_1/c (No. 14), with a = 5.521 Å, b = 6.468 Å, c = 15.250 Å, α = 90.00°, β = 105.88° and γ = 90.00°. The asymmetric unit holds Cs at (0.147, 0.124, 0.150), As at (0.491, 0.109, 0.423), O at (0.312, 0.092, 0.507), F at (0.286, 0.198, 0.857), F at (0.294, 0.580, 0.847), F at (0.313, 0.682, 0.520) and F at (0.324, 0.610, 0.157).

The calculation puts the density of states at the Fermi level at 0.00 states/eV/cell. The value obtained for the uncorrected formation energy is -2259 meV per atom. As for the density: 3.80 g/cm3.

Computed, not measured: a relaxed structure of Mg2Tc at the PBE-GGA level of DFT.

It has space group Ibam (No. 72), with a = 6.252 Å, b = 7.490 Å, c = 4.935 Å, α = 90.00°, β = 90.00° and γ = 90.00°. The asymmetric unit holds Mg at (0.154, 0.179, 0.000) and Tc at (0.000, 0.500, 0.250).

The calculation puts the energy above the lowest structure with this stoichiometry at 178 meV per atom. The calculation puts the density of states at the Fermi level at 8.45 states/eV/cell. As for the density: 4.21 g/cm3.

Computed, not measured: a relaxed structure of CrNi5Rh4 at the PBE-GGA level of DFT.

It has space group C2/m (No. 12), with a = 12.044 Å, b = 2.664 Å, c = 8.254 Å, α = 90.00°, β = 90.51° and γ = 90.00°. The asymmetric unit holds Cr at (0.000, 0.000, 0.000), Ni at (0.000, 0.000, 0.500), Ni at (0.170, 0.500, 0.470), Ni at (0.171, 0.500, 0.035), Rh at (0.029, 0.500, 0.248) and Rh at (0.168, 0.000, 0.750).

As for the total energy: -130.74 eV per cell. The calculation puts the density of states at the Fermi level at 31.21 states/eV/cell. As for the density: 9.49 g/cm3.

Computed, not measured: a relaxed structure of ZrCrCl3 at the PBE-GGA level of DFT.

It has space group Pm-3m (No. 221), with a = 4.854 Å, b = 4.854 Å, c = 4.854 Å, α = 90.00°, β = 90.00° and γ = 90.00°. The asymmetric unit holds Zr at (0.000, 0.000, 0.000), Cr at (0.500, 0.500, 0.500) and Cl at (0.000, 0.500, 0.500).

The calculation puts the energy above the lowest structure with this stoichiometry at 322 meV per atom. The calculation puts the density of states at the Fermi level at 5.91 states/eV/cell. The value obtained for the uncorrected formation energy is -194 meV per atom. As for the density: 3.62 g/cm3.

Computed, not measured: a relaxed structure of Pr8Y2Sc at the PBE-GGA level of DFT.

It has space group C2/m (No. 12), with a = 18.585 Å, b = 5.163 Å, c = 8.152 Å, α = 90.00°, β = 105.15° and γ = 90.00°. The asymmetric unit holds Pr at (0.045, 0.000, 0.232), Pr at (0.090, 0.500, 0.948), Pr at (0.135, 0.000, 0.680), Pr at (0.180, 0.500, 0.410), Y at (0.226, 0.000, 0.134) and Sc at (0.000, 0.500, 0.500).

The calculation puts the energy above the lowest structure with this stoichiometry at 0 meV per atom. The calculation puts the density of states at the Fermi level at 33.71 states/eV/cell. As for the density: 5.94 g/cm3.

Computed, not measured: a relaxed structure of MgSiPS2 at the PBE-GGA level of DFT.

It has space group P4/mmm (No. 123), with a = 4.580 Å, b = 4.580 Å, c = 4.532 Å, α = 90.00°, β = 90.00° and γ = 90.00°. The asymmetric unit holds Mg at (0.000, 0.000, 0.000), Si at (0.500, 0.500, 0.500), P at (0.500, 0.500, 0.000) and S at (0.000, 0.500, 0.500).

The calculation puts the energy above the lowest structure with this stoichiometry at 0 meV per atom. The calculation puts the density of states at the Fermi level at 4.40 states/eV/cell. The value obtained for the uncorrected formation energy is 117 meV per atom. As for the density: 2.58 g/cm3.

Computed, not measured: a relaxed structure of AlAg2Pd3 at the PBE-GGA level of DFT.

It has space group Cmmm (No. 65), with a = 4.211 Å, b = 12.641 Å, c = 7.162 Å, α = 90.00°, β = 90.00° and γ = 90.00°. The asymmetric unit holds Al at (0.000, 0.159, 0.000), Ag at (0.000, 0.167, 0.500), Ag at (0.000, 0.500, 0.000), Ag at (0.000, 0.500, 0.500), Pd at (0.000, 0.000, 0.237) and Pd at (0.000, 0.326, 0.220).

As for the total energy: -109.95 eV per cell. The calculation puts the density of states at the Fermi level at 4.20 states/eV/cell. As for the density: 9.79 g/cm3.